Computed, not measured: a geometry-optimized RbY3Pb structure at the PBE level of DFT.

a = 5.521 Å, b = 5.521 Å, c = 5.521 Å
α = 90.00°, β = 90.00°, γ = 90.00°
Positions (direct):
Y (0.000, 0.000, 0.500)
Y (0.000, 0.500, 0.000)
Rb (0.000, 0.000, 0.000)
Pb (0.500, 0.500, 0.500)
Y (0.500, 0.000, 0.000)


Computed, not measured: a geometry-optimized RbYPb3 structure at the PBE level of DFT.

a = 5.923 Å, b = 5.923 Å, c = 5.923 Å
α = 90.00°, β = 90.00°, γ = 90.00°
Positions (direct):
Y (0.500, 0.500, 0.500)
Pb (0.500, 0.000, 0.000)
Pb (0.000, 0.500, 0.000)
Rb (0.000, 0.000, 0.000)
Pb (0.000, 0.000, 0.500)


Computed, not measured: a geometry-optimized RbY2Pb2 structure at the PBE level of DFT.

a = 5.411 Å, b = 5.411 Å, c = 7.729 Å
α = 69.51°, β = 69.51°, γ = 90.00°
Positions (direct):
Y (0.250, 0.750, 0.500)
Pb (0.625, 0.625, 0.750)
Y (0.750, 0.250, 0.500)
Rb (0.000, 0.000, 0.000)
Pb (0.375, 0.375, 0.250)


Computed, not measured: a geometry-optimized RbYPb3 structure at the PBE level of DFT.

a = 5.993 Å, b = 5.993 Å, c = 5.993 Å
α = 90.00°, β = 90.00°, γ = 90.00°
Positions (direct):
Pb (0.500, 0.000, 0.000)
Pb (0.000, 0.500, 0.000)
Y (0.000, 0.000, 0.000)
Rb (0.500, 0.500, 0.500)
Pb (0.000, 0.000, 0.500)


What did we get for energy of formation? Answer: 1.1957 0.9931 -0.1461 0.0526 eV per atom, in the order shown.
What did we get for density? Answer: 5.5 6.4 5.7 6.1 g cm⁻³, in the order shown.